Material: ScBiI2N
Method: DFT, GGA-PBE
State: relaxed

The crystal system is tetragonal. The value obtained for the uncorrected formation energy is -0.043 eV/atom. The calculation puts the electronic total energy at -21.9 eV/cell.

a = 6.039 Å, b = 6.039 Å, c = 3.903 Å
α = 90.00°, β = 90.00°, γ = 90.00°
Sites, in units of the cell vectors:
1 I 0.000 0.500 0.000
2 I 0.500 0.000 0.000
3 Sc 0.000 0.000 0.000
4 Bi 0.500 0.500 0.500
5 N 0.000 0.000 0.500

---

Material: ZnPbN2
Method: DFT, GGA-PBE
State: relaxed

The crystal system is trigonal. The value obtained for the uncorrected formation energy is 1.130 eV/atom. The calculation puts the electronic total energy at -17.1 eV/cell.

a = 6.585 Å, b = 6.585 Å, c = 6.585 Å
α = 29.06°, β = 29.06°, γ = 29.06°
Sites, in units of the cell vectors:
1 Pb 0.000 0.000 0.000
2 Zn 0.500 0.500 0.500
3 N 0.884 0.884 0.884
4 N 0.116 0.116 0.116

---

Material: CdSn2GeW
Method: DFT, GGA-PBE
State: relaxed

The calculation puts the formation enthalpy at 0 K at 1.66 eV per atom. The crystal system is tetragonal. The calculation puts the electronic total energy at -18.2 eV/cell.

a = 5.416 Å, b = 4.985 Å, c = 5.416 Å
α = 90.00°, β = 90.00°, γ = 90.00°
Last column: magnetic moment on the atom in μB.
Sites, in units of the cell vectors:
1 Ge 0.000 0.500 0.000  -0.06
2 Sn 0.000 0.000 0.500  -0.02
3 Sn 0.500 0.000 0.000  -0.03
4 W 0.500 0.500 0.500  3.00
5 Cd 0.000 0.000 0.000  0.00

---

Material: Na3LaTc
Method: DFT, GGA-PBE
State: relaxed

The calculation puts the formation enthalpy at 0 K at 0.55 eV per atom. The crystal system is trigonal. The calculation puts the electronic total energy at -16.5 eV/cell.

a = 5.596 Å, b = 5.596 Å, c = 5.596 Å
α = 98.49°, β = 98.49°, γ = 98.49°
Sites, in units of the cell vectors:
1 Na 0.618 0.017 0.618
2 Na 0.017 0.618 0.618
3 Na 0.618 0.618 0.017
4 Tc 0.447 0.447 0.447
5 La 0.175 0.175 0.175

---

Material: NaMg3Tl2
Method: DFT, GGA-PBE
State: relaxed

The calculation puts the formation enthalpy at 0 K at -0.01 eV per atom. The crystal system is orthorhombic. The calculation puts the electronic total energy at -21.8 eV/cell.

a = 4.820 Å, b = 8.875 Å, c = 8.875 Å
α = 62.28°, β = 74.24°, γ = 74.24°
Sites, in units of the cell vectors:
1 Na 0.877 0.123 0.123
2 Na 0.123 0.877 0.877
3 Mg 0.321 0.483 0.876
4 Mg 0.000 0.338 0.663
5 Mg 0.679 0.124 0.517
6 Mg 0.321 0.876 0.483
7 Mg 0.000 0.662 0.337
8 Mg 0.679 0.517 0.124
9 Tl 0.500 0.161 0.839
10 Tl 0.500 0.839 0.161
11 Tl 0.798 0.702 0.701
12 Tl 0.202 0.298 0.299

---

Material: LaTb2SiN4
Method: DFT, GGA-PBE
State: relaxed

The crystal system is orthorhombic. The value obtained for the uncorrected formation energy is -1.355 eV/atom. The calculation puts the electronic total energy at -127.5 eV/cell.

a = 3.429 Å, b = 6.081 Å, c = 11.634 Å
α = 90.00°, β = 90.00°, γ = 106.38°
Sites, in units of the cell vectors:
1 La 0.088 0.176 0.750
2 La 0.912 0.824 0.250
3 Tb 0.368 0.737 0.542
4 Tb 0.632 0.263 0.042
5 Tb 0.632 0.263 0.458
6 Tb 0.368 0.737 0.958
7 Si 0.822 0.644 0.750
8 Si 0.178 0.356 0.250
9 N 0.266 0.532 0.130
10 N 0.734 0.468 0.630
11 N 0.734 0.468 0.870
12 N 0.266 0.532 0.370
13 N 0.000 0.000 0.500
14 N 0.000 0.000 0.000
15 N 0.402 0.805 0.750
16 N 0.598 0.195 0.250

---

Q: Which of these has the highest electronic total energy?
A: Na3LaTc